Arrangement A

This record from Alexandria describes an optimized crystal structure of BiSb2AuI. The functional is PBE.

Geometry as POSCAR:
```
BiSb2AuI
1.0
5.483 0.000 0.000
0.000 5.483 0.000
0.000 0.000 5.444
Bi Au Sb I
1 1 2 1
Cartesian
2.742 2.742 2.722
0.000 0.000 0.000
0.000 2.742 0.000
2.742 0.000 0.000
0.000 0.000 2.722
```

## Properties
DOS(E_F): 1.267 states/eV per atom
crystal system: tetragonal
space group: P4/mmm (123)
volume: 32.7 A^3/atom

***

Arrangement B

This record from Alexandria describes an optimized crystal structure of BiSb2AuI. The functional is PBE.

Geometry as POSCAR:
```
BiSb2AuI
1.0
5.925 0.000 0.000
0.000 5.925 0.000
0.000 0.000 5.999
Bi Au Sb I
1 1 2 1
Cartesian
0.000 0.000 0.000
2.962 2.962 3.000
2.962 0.000 0.000
0.000 2.962 0.000
0.000 0.000 3.000
```

## Properties
DOS(E_F): 0.879 states/eV per atom
crystal system: tetragonal
space group: P4/mmm (123)
volume: 42.1 A^3/atom

***

Least stable = arrangement B

***

Arrangement A

This record from Alexandria describes an optimized crystal structure of BiTe2AuI. The functional is PBE.

Geometry as POSCAR:
```
BiTe2AuI
1.0
5.530 0.000 0.000
0.000 5.530 0.000
0.000 0.000 5.410
Te I Au Bi
2 1 1 1
Cartesian
2.765 0.000 0.000
0.000 2.765 0.000
0.000 0.000 2.705
0.000 0.000 0.000
2.765 2.765 2.705
```

## Properties
DOS(E_F): 0.563 states/eV per atom
crystal system: tetragonal
space group: P4/mmm (123)
volume: 33.1 A^3/atom

***

Arrangement B

This record from Alexandria describes an optimized crystal structure of BiTe2AuI. The functional is PBE.

Geometry as POSCAR:
```
BiTe2AuI
1.0
-1.048 5.859 0.597
-2.627 -1.007 5.279
5.268 0.662 2.748
I Te Au Bi
1 2 1 1
Cartesian
2.634 0.331 1.374
-0.524 2.930 0.298
-1.314 -0.504 2.639
0.796 2.757 4.312
0.000 0.000 0.000
```

## Properties
DOS(E_F): 1.766 states/eV per atom
crystal system: tetragonal
space group: P4/mmm (123)
volume: 42.8 A^3/atom

***

Least stable = arrangement B

***

Arrangement A

This record from Alexandria describes an optimized crystal structure of InBi3Au4. The functional is PBE.

Geometry as POSCAR:
```
InBi3Au4
1.0
6.789 -0.729 0.187
-3.978 5.549 -0.187
-2.605 -1.711 6.078
Au Bi In
4 3 1
Cartesian
-0.705 0.411 3.087
-3.825 2.230 5.878
3.121 3.023 1.517
1.716 0.615 1.517
3.752 -2.188 5.618
0.969 -0.565 5.256
0.172 3.129 2.222
-3.058 1.783 3.295
```

## Properties
DOS(E_F): 0.459 states/eV per atom
crystal system: orthorhombic
space group: Imm2 (44)
volume: 26.6 A^3/atom

***

Arrangement B

This record from Alexandria describes an optimized crystal structure of InBi3Au4. The functional is PBE.

Geometry as POSCAR:
```
InBi3Au4
1.0
3.422 0.000 -0.971
-0.512 6.553 -1.805
0.737 -1.068 9.109
In Au Bi
1 4 3
Cartesian
1.711 0.000 -0.486
1.903 5.227 0.190
2.115 2.447 0.939
1.743 0.258 6.143
1.531 3.038 5.395
0.918 0.939 3.233
2.728 4.547 3.100
-0.256 3.277 -0.902
```

## Properties
DOS(E_F): 0.290 states/eV per atom
crystal system: monoclinic
space group: C2/m (12)
volume: 25.2 A^3/atom

***

Least stable = arrangement A

***

Arrangement A

This record from Alexandria describes an optimized crystal structure of In2BiAu2. The functional is PBE.

Geometry as POSCAR:
```
In2BiAu2
1.0
-2.642 -2.050 -2.742
4.284 -3.633 -1.411
-1.424 -4.984 8.510
Bi Au In
2 4 4
Cartesian
-2.128 -7.222 4.041
3.121 -4.103 0.061
0.532 -5.928 3.920
0.528 -8.459 2.407
0.824 -3.171 1.577
-2.069 -3.251 1.015
-0.065 -2.825 -1.235
-1.135 -3.613 3.796
-0.046 -5.868 1.022
1.137 -8.567 5.311
```

## Properties
DOS(E_F): 0.330 states/eV per atom
crystal system: orthorhombic
space group: Cmc2_1 (36)
volume: 24.4 A^3/atom

***

Arrangement B

This record from Alexandria describes an optimized crystal structure of In2BiAu2. The functional is PBE.

Geometry as POSCAR:
```
In2BiAu2
1.0
-5.418 -6.005 0.728
6.047 -5.399 0.468
0.061 0.380 3.589
Au In Bi
4 4 2
Cartesian
-0.898 -8.625 0.928
1.527 -2.779 0.268
-2.627 -4.491 0.520
3.256 -6.913 0.676
-0.776 -2.712 2.115
3.159 -4.403 2.227
-2.468 -6.622 2.558
1.466 -8.312 2.669
0.315 -5.702 0.598
0.000 0.000 0.000
```

## Properties
DOS(E_F): 0.429 states/eV per atom
crystal system: tetragonal
space group: P4/mbm (127)
volume: 23.8 A^3/atom

***

Least stable = arrangement B

***

Arrangement A

This record from Alexandria describes an optimized crystal structure of InBiAu6. The functional is PBE.

Geometry as POSCAR:
```
InBiAu6
1.0
-1.239 -4.126 -0.068
1.009 -0.233 -4.183
8.011 -2.439 2.069
Au Bi In
6 1 1
Cartesian
5.288 -3.861 1.491
6.411 -1.915 -0.566
1.485 -2.704 0.509
3.891 -3.399 -1.091
-0.115 -2.180 -2.126
2.608 -0.757 -1.548
0.000 0.000 0.000
4.005 -1.219 1.034
```

## Properties
DOS(E_F): 0.291 states/eV per atom
crystal system: tetragonal
space group: P4/mmm (123)
volume: 20.0 A^3/atom

***

Arrangement B

This record from Alexandria describes an optimized crystal structure of InBiAu6. The functional is PBE.

Geometry as POSCAR:
```
InBiAu6
1.0
4.733 0.000 0.000
0.000 5.365 0.000
0.000 0.000 6.341
Au In Bi
6 1 1
Cartesian
2.366 4.521 4.661
0.000 0.911 4.668
2.366 4.521 1.680
2.366 1.557 0.000
0.000 0.911 1.673
0.000 3.608 3.170
2.366 1.866 3.170
0.000 3.565 0.000
```

## Properties
DOS(E_F): 0.343 states/eV per atom
crystal system: orthorhombic
space group: Pmm2 (25)
volume: 20.1 A^3/atom

***

Least stable = arrangement A

***

Arrangement A

This record from Alexandria describes an optimized crystal structure of InBiAu5. The functional is PBE.

Geometry as POSCAR:
```
InBiAu5
1.0
-2.709 1.498 -5.115
-7.889 -0.482 4.036
0.758 10.862 2.779
Au Bi In
20 4 4
Cartesian
-5.907 3.055 2.275
-9.889 4.335 -0.370
-6.028 3.373 -2.696
-3.933 8.823 -0.575
-6.129 7.161 0.101
-7.911 0.812 2.679
0.049 7.543 2.070
-1.929 11.065 -0.980
-7.836 9.176 1.595
-4.762 2.672 -0.303
-2.004 2.701 0.105
-1.186 5.471 0.483
-3.811 8.505 4.395
-5.470 0.361 1.255
-8.622 3.634 2.022
-5.078 9.205 2.003
-4.370 11.516 0.445
-3.711 4.717 1.599
-8.654 6.406 1.217
-1.218 8.243 -0.323
-1.935 10.685 2.406
-6.198 5.873 3.255
-3.641 6.004 -1.555
-7.904 1.193 -0.707
-6.730 9.146 4.495
-6.909 4.559 -0.248
-2.930 7.319 1.947
-3.109 2.732 -2.795
```

## Properties
DOS(E_F): 0.375 states/eV per atom
crystal system: orthorhombic
space group: Pnma (62)
volume: 21.3 A^3/atom

***

Arrangement B

This record from Alexandria describes an optimized crystal structure of InBiAu5. The functional is PBE.

Geometry as POSCAR:
```
InBiAu5
1.0
-0.055 -3.652 -1.826
0.120 -1.827 3.650
-9.088 -0.009 0.293
In Au Bi
1 5 1
Cartesian
0.032 -2.739 0.912
-2.299 -1.828 -0.840
-2.212 -0.916 1.898
0.000 0.000 0.000
-6.757 -0.920 2.045
-6.844 -1.833 -0.693
-4.544 -0.004 0.147
```

## Properties
DOS(E_F): 0.495 states/eV per atom
crystal system: tetragonal
space group: P4/mmm (123)
volume: 21.7 A^3/atom

***

Least stable = arrangement B

***

Arrangement A

This record from Alexandria describes an optimized crystal structure of InBiAu3. The functional is PBE.

Geometry as POSCAR:
```
InBiAu3
1.0
-1.687 4.496 -2.567
-4.097 -2.810 -2.229
-3.165 1.241 4.253
Au In Bi
3 1 1
Cartesian
-2.049 -1.405 -1.115
-0.843 2.248 -1.284
-1.583 0.621 2.127
-4.475 1.464 -0.271
0.000 0.000 0.000
```

## Properties
DOS(E_F): 0.331 states/eV per atom
crystal system: cubic
space group: Pm-3m (221)
volume: 32.3 A^3/atom

***

Arrangement B

This record from Alexandria describes an optimized crystal structure of InBiAu3. The functional is PBE.

Geometry as POSCAR:
```
InBiAu3
1.0
-0.932 -1.940 4.003
-1.223 -2.879 -1.680
13.392 -4.145 1.109
Au Bi In
6 2 2
Cartesian
9.298 -4.649 1.202
-0.593 -3.208 2.178
1.939 -4.314 2.231
4.010 -4.046 0.263
7.227 -4.918 3.170
11.830 -5.756 1.255
1.657 -1.311 1.041
9.580 -7.653 2.392
6.588 -5.172 0.318
4.649 -3.791 3.115
```

## Properties
DOS(E_F): 0.273 states/eV per atom
crystal system: orthorhombic
space group: Cmcm (63)
volume: 22.5 A^3/atom

***

Least stable = arrangement A

***

Arrangement A

This record from Alexandria describes an optimized crystal structure of InBi2Au2. The functional is PBE.

Geometry as POSCAR:
```
InBi2Au2
1.0
7.269 0.000 0.093
0.000 7.513 0.000
-0.733 0.000 9.558
Au Bi In
8 8 4
Cartesian
5.319 7.176 1.553
4.796 6.678 4.405
1.162 4.592 4.359
1.740 0.836 5.246
1.217 0.338 8.098
5.374 2.921 5.292
1.684 4.095 1.507
4.851 3.419 8.144
3.631 1.969 0.417
4.122 0.634 6.928
6.539 5.726 9.280
0.488 3.123 6.882
-0.003 1.788 0.371
2.414 6.880 2.723
6.048 4.390 2.769
2.904 5.544 9.233
3.400 4.866 6.066
6.770 1.109 3.631
3.136 2.648 3.584
-0.235 6.404 6.020
```

## Properties
DOS(E_F): 0.464 states/eV per atom
crystal system: monoclinic
space group: P2_1/c (14)
volume: 26.1 A^3/atom

***

Arrangement B

This record from Alexandria describes an optimized crystal structure of InBi2Au2. The functional is PBE.

Geometry as POSCAR:
```
InBi2Au2
1.0
7.522 0.000 0.000
0.000 7.522 0.000
0.000 0.000 4.453
Au Bi In
4 4 2
Cartesian
4.765 1.004 0.000
2.758 6.519 0.000
1.004 2.758 0.000
6.519 4.765 0.000
6.212 2.450 2.226
2.450 1.311 2.226
1.311 5.072 2.226
5.072 6.212 2.226
0.000 0.000 0.000
3.761 3.761 0.000
```

## Properties
DOS(E_F): 0.431 states/eV per atom
crystal system: tetragonal
space group: P4/mbm (127)
volume: 25.2 A^3/atom

***

Arrangement C

This record from Alexandria describes an optimized crystal structure of InBi2Au2. The functional is PBE.

Geometry as POSCAR:
```
InBi2Au2
1.0
-7.336 4.900 -0.764
-4.910 -7.368 -0.115
-0.265 0.124 3.341
Bi Au In
4 4 2
Cartesian
-9.444 -0.536 -0.729
-2.801 -1.932 -0.150
-5.417 2.098 -0.507
-6.829 -4.566 -0.372
-4.538 -4.015 1.473
-3.414 0.559 1.392
-7.973 1.671 0.989
-9.097 -2.902 1.070
0.000 0.000 0.000
-6.123 -1.234 -0.439
```

## Properties
DOS(E_F): 0.373 states/eV per atom
crystal system: tetragonal
space group: P4/mbm (127)
volume: 26.3 A^3/atom

***

Arrangement D

This record from Alexandria describes an optimized crystal structure of InBi2Au2. The functional is PBE.

Geometry as POSCAR:
```
InBi2Au2
1.0
3.941 0.000 0.000
0.000 3.941 0.000
1.971 1.971 8.565
Bi In Au
2 1 2
Cartesian
3.941 3.941 6.633
1.971 1.971 1.932
0.000 0.000 0.000
3.941 1.971 4.282
1.971 3.941 4.282
```

## Properties
DOS(E_F): 0.400 states/eV per atom
crystal system: tetragonal
space group: I4/mmm (139)
volume: 26.6 A^3/atom

***

Least stable = arrangement C